DFT (PBE with a Hubbard U) results for CoB2F8 after structural relaxation.

Results
SG = C2/c, No. 15
spin magnetization = 3.00 μB/f.u.
crystal system = monoclinic
total energy = -5.65 eV per atom

Cell lengths 6.918, 7.200, 7.814 Å; angles 73.93, 63.73, 61.29 degrees
Last column: magnetic moment on the atom in μB.
Fractional positions:
Co  0.001  0.750  0.250  2.80
Co  0.999  0.250  0.750  2.80
B  0.840  0.865  0.962  0.00
B  0.333  0.365  0.462  0.00
B  0.667  0.635  0.538  0.00
B  0.160  0.135  0.038  0.00
F  0.438  0.719  0.557  0.00
F  0.113  0.981  0.197  0.02
F  0.729  0.967  0.137  0.02
F  0.254  0.205  0.476  0.03
F  0.271  0.033  0.863  0.02
F  0.935  0.295  0.024  0.03
F  0.746  0.795  0.524  0.03
F  0.167  0.467  0.637  0.02
F  0.065  0.705  0.976  0.03
F  0.714  0.781  0.943  0.00
F  0.709  0.481  0.697  0.02
F  0.291  0.519  0.303  0.02
F  0.286  0.219  0.057  0.00
F  0.833  0.533  0.363  0.02
F  0.562  0.281  0.443  0.00
F  0.887  0.019  0.803  0.02